VASP calculation (PBE) on an optimized crystal structure of Np2MnSi4Pt3.

## Properties
Spin magnetization in μB/cell: 6.30
Density of states at the Fermi level in states/eV/atom: 2.00
DFT total energy in eV per formula unit: -81.4

a = 4.150 Å, b = 4.150 Å, c = 9.879 Å
α = 90.00°, β = 90.00°, γ = 90.00°
Space group P-4m2 (No. 115)
Inequivalent atoms, fractional coordinates:
1 Np 0.000 0.500 0.245
2 Mn 0.500 0.500 0.000
3 Si 0.000 0.000 0.500
4 Si 0.000 0.500 0.870
5 Si 0.500 0.500 0.500
6 Pt 0.000 0.000 0.000
7 Pt 0.000 0.500 0.626